Entry 1:
Computed, not measured: a relaxed structure of NaAlBi3 at the PBE level of DFT.

abc: 5.5695 5.5695 5.5695
angles: 90.00 90.00 90.00
Last column: nearest neighbours and their distance in Å.
Space group Pm-3m (No. 221)
Symmetry-distinct sites (fractional):
Na: 0.0000 0.0000 0.0000 (multiplicity 1)  12 Bi 3.94
Al: 0.5000 0.5000 0.5000 (multiplicity 1)  6 Bi 2.78
Bi: 0.0000 0.5000 0.5000 (multiplicity 3)  2 Al 2.78

## Properties
total moment	0.0	μB/cell
formation enthalpy at 0 K	0.27	eV/atom
offset from the most stable computed form	0.0	kJ/mol of atoms



Entry 2:
Computed, not measured: a relaxed structure of PmFe2Ge3 at the PBE level of DFT.

abc: 9.6536 7.5036 5.4093
angles: 90.00 90.00 90.00
Last column: nearest neighbours and their distance in Å.
Space group Cmcm (No. 63)
Symmetry-distinct sites (fractional):
Pm: 0.0000 0.1554 0.2500 (multiplicity 4)  9 Ge 2.95-3.27
Fe: 0.1997 0.5000 0.0000 (multiplicity 8)  6 Ge 2.35-2.57
Ge: 0.0000 0.4513 0.7500 (multiplicity 4)  4 Fe 2.38, 2 Ge 2.55
Ge: 0.1849 0.2093 0.7500 (multiplicity 8)  4 Fe 2.35-2.57, 1 Ge 2.55

## Properties
total moment	0.0	μB/cell
formation enthalpy at 0 K	-0.32	eV/atom